This record from Alexandria via LeMat-Bulk describes a relaxed structure of MoPAuO2. The functional is GGA+U.

Structure (extended XYZ):
```
5
Lattice="-0.366 0.818 3.911 2.974 -2.568 0.815 3.307 3.683 -0.461" Properties=species:S:1:pos:R:3 pbc="T T T"
O 1.487 -1.284 0.408
O -0.183 0.409 1.956
Au 0.000 0.000 0.000
P 1.653 1.842 -0.231
Mo 2.957 0.967 2.132
```

Output
The value obtained for the calculated volume is 16.008 Å³/atom. The value obtained for the distance to the lowest polymorph of the same formula is 1.208 eV/atom. The density of states at the Fermi level comes out at 2.47 states/eV per cell. As for the crystal system: tetragonal.